[1]
Material: NdHg5Pd6
Method: DFT, PBE-GGA
State: optimized geometry

a b c (Å): 4.860 6.528 7.289
angles (deg): 90.00 100.79 90.00
Space group P2/m (No. 10)
Inequivalent atoms, fractional coordinates:
Nd 0.000 0.000 0.000 [1 per cell]
Hg 0.000 0.500 0.000 [1 per cell]
Hg 0.350 0.500 0.668 [2 per cell]
Hg 0.361 0.000 0.672 [2 per cell]
Pd 0.148 0.254 0.342 [4 per cell]
Pd 0.500 0.266 0.000 [2 per cell]

Summary:
M_tot (μB/f.u.): 0.00
Formation energy from the elements (eV/atom): -0.305
Volume (Å³ per atom): 18.9

[2]
Material: Li2Cd3Ag3
Method: DFT, PBE-GGA
State: optimized geometry

a b c (Å): 4.6801 4.6801 23.3774
angles (deg): 90.00 90.00 120.00
Space group R3m (No. 160, hexagonal axes)
Inequivalent atoms, fractional coordinates:
Li 0.0000 0.0000 0.0000 [3 per cell]
Li 0.0000 0.0000 0.4933 [3 per cell]
Cd 0.0000 0.0000 0.2494 [3 per cell]
Cd 0.0000 0.0000 0.7451 [3 per cell]
Cd 0.0000 0.0000 0.8706 [3 per cell]
Ag 0.0000 0.0000 0.1241 [3 per cell]
Ag 0.0000 0.0000 0.3708 [3 per cell]
Ag 0.0000 0.0000 0.6230 [3 per cell]

Summary:
M_tot (μB/f.u.): 0.00
Formation energy from the elements (eV/atom): -0.170
Volume (Å³ per atom): 18.5

[3]
Material: Mg3NiI
Method: DFT, PBE-GGA
State: optimized geometry

a b c (Å): 5.481 5.481 5.481
angles (deg): 90.00 90.00 90.00
Space group Pm-3m (No. 221)
Inequivalent atoms, fractional coordinates:
Mg 0.000 0.000 0.500 [3 per cell]
Ni 0.500 0.500 0.500 [1 per cell]
I 0.000 0.000 0.000 [1 per cell]

Summary:
M_tot (μB/f.u.): 0.00
Volume (Å³ per atom): 32.9
Formation energy without anion corrections (eV/atom): 1.123

[4]
Material: Ca2TaOs
Method: DFT, PBE-GGA
State: optimized geometry

a b c (Å): 10.559 10.559 4.805
angles (deg): 90.00 90.00 90.00
Space group I-42d (No. 122)
Inequivalent atoms, fractional coordinates:
Ca 0.099 0.250 0.125 [8 per cell]
Ta 0.000 0.000 0.500 [4 per cell]
Os 0.000 0.000 0.000 [4 per cell]

Summary:
M_tot (μB/f.u.): 0.25
Formation energy from the elements (eV/atom): 0.866
Volume (Å³ per atom): 33.5

[5]
Material: Si2HgBi
Method: DFT, PBE-GGA
State: optimized geometry

a b c (Å): 7.129 7.129 7.129
angles (deg): 90.00 90.00 90.00
Space group Fm-3m (No. 225)
Inequivalent atoms, fractional coordinates:
Si 0.250 0.250 0.250 [8 per cell]
Hg 0.000 0.000 0.000 [4 per cell]
Bi 0.000 0.000 0.500 [4 per cell]

Summary:
M_tot (μB/f.u.): 0.00
Volume (Å³ per atom): 22.6
Formation energy without anion corrections (eV/atom): 0.635

[6]
Material: ScMnNi2
Method: DFT, PBE-GGA
State: optimized geometry

a b c (Å): 4.698 4.569 11.527
angles (deg): 90.00 90.00 90.00
Space group Pmma (No. 51)
Inequivalent atoms, fractional coordinates:
Sc 0.250 0.000 0.088 [2 per cell]
Sc 0.250 0.500 0.303 [2 per cell]
Mn 0.250 0.000 0.677 [2 per cell]
Mn 0.250 0.500 0.546 [2 per cell]
Ni 0.000 0.000 0.500 [2 per cell]
Ni 0.000 0.500 0.000 [2 per cell]
Ni 0.250 0.256 0.848 [4 per cell]

Summary:
M_tot (μB/f.u.): 3.54
Formation energy from the elements (eV/atom): -0.041
Volume (Å³ per atom): 15.5

[7]
Material: Tm2ZrScP4
Method: DFT, PBE-GGA
State: optimized geometry

a b c (Å): 6.643 3.838 6.661
angles (deg): 90.00 109.33 90.00
Space group P2/m (No. 10)
Inequivalent atoms, fractional coordinates:
Tm 0.000 0.000 0.000 [1 per cell]
Tm 0.500 0.500 0.000 [1 per cell]
Zr 0.000 0.500 0.500 [1 per cell]
Sc 0.500 0.000 0.500 [1 per cell]
P 0.247 0.000 0.739 [2 per cell]
P 0.254 0.500 0.262 [2 per cell]

Summary:
M_tot (μB/f.u.): 0.00
Formation energy from the elements (eV/atom): -1.526
Volume (Å³ per atom): 20.0

[8]
Material: LiLaTl
Method: DFT, PBE-GGA
State: optimized geometry

a b c (Å): 3.661 3.661 12.001
angles (deg): 90.00 90.00 90.00
Space group I4mm (No. 107)
Inequivalent atoms, fractional coordinates:
Li 0.000 0.000 0.000 [2 per cell]
La 0.000 0.000 0.300 [2 per cell]
Tl 0.000 0.000 0.609 [2 per cell]

Summary:
M_tot (μB/f.u.): 0.59
Formation energy from the elements (eV/atom): -0.187
Volume (Å³ per atom): 26.8